(1)
Tl4TcHg after structural relaxation, computed with PBE.

The structure in extended XYZ format:
```
6
Lattice="-1.256 1.489 5.974 -5.160 3.302 1.396 -4.786 -2.765 2.987" Properties=species:S:1:pos:R:3 pbc="T T T"
Tl -4.827 1.505 6.876
Tl -6.597 -0.628 5.378
Tl -6.785 2.414 4.580
Tl -4.197 0.759 3.880
Tc 0.000 0.000 0.000
Hg -8.402 1.519 7.768
```

Output
Formation enthalpy at 0 K (meV per atom): 817
Density of states at the Fermi level (states/eV/cell): 4.9

(2)
Zr5Al after structural relaxation, computed with PBE.

The structure in extended XYZ format:
```
6
Lattice="-1.928 5.631 0.516 -2.808 4.703 -2.386 -7.129 -0.629 2.363" Properties=species:S:1:pos:R:3 pbc="T T T"
Al -7.123 -0.550 2.336
Zr -3.879 3.202 0.152
Zr -7.999 6.402 0.378
Zr -4.787 6.082 -0.494
Zr -8.824 9.338 -0.311
Zr -8.134 2.397 1.700
```

Output
Formation enthalpy at 0 K (meV per atom): -121
Density of states at the Fermi level (states/eV/cell): 5.8

(3)
Sm3Dy6Tl after structural relaxation, computed with PBE.

The structure in extended XYZ format:
```
20
Lattice="3.513 0.000 0.000 0.000 12.355 -3.385 0.000 1.111 14.279" Properties=species:S:1:pos:R:3 pbc="T T T"
Sm 2.635 6.215 11.460
Sm 0.878 7.251 -0.566
Sm 2.635 8.364 5.067
Sm 0.878 5.102 5.827
Sm 2.635 1.035 1.199
Sm 0.878 12.431 9.695
Dy 2.635 6.803 8.206
Dy 0.878 6.663 2.688
Dy 2.635 10.087 -1.630
Dy 0.878 3.379 12.524
Dy 2.635 4.354 0.517
Dy 0.878 9.112 10.377
Dy 2.635 9.672 1.873
Dy 0.878 3.794 9.021
Dy 2.635 1.876 6.228
Dy 0.878 11.590 4.666
Dy 2.635 10.354 7.598
Dy 0.878 3.112 3.296
Tl 2.635 1.237 10.228
Tl 0.878 12.228 0.666
```

Output
E above lowest polymorph (eV per atom): 0.000
Formation enthalpy at 0 K (meV per atom): 17
Density of states at the Fermi level (states/eV/cell): 27.5

(4)
CdCo2Pb after structural relaxation, computed with PBE.

The structure in extended XYZ format:
```
4
Lattice="-0.504 -0.756 4.395 -0.716 3.433 2.800 -4.021 0.528 1.921" Properties=species:S:1:pos:R:3 pbc="T T T"
Pb -2.620 1.603 4.558
Co -1.310 0.801 2.279
Co -3.930 2.404 6.837
Cd 0.000 0.000 0.000
```

Output
E above lowest polymorph (eV per atom): 0.141
Formation enthalpy at 0 K (meV per atom): 443
Density of states at the Fermi level (states/eV/cell): 3.2

(5)
Tl2InGeI6 after structural relaxation, computed with PBE.

The structure in extended XYZ format:
```
10
Lattice="-0.078 0.165 8.330 -1.911 -6.883 4.286 6.198 -4.084 4.309" Properties=species:S:1:pos:R:3 pbc="T T T"
Tl 1.500 -5.238 8.453
Tl 5.601 -3.923 4.298
In -0.413 -2.310 4.213
Ge 1.688 -7.706 12.677
I 1.358 -2.095 6.726
I -0.194 -7.874 6.696
I 0.506 -4.988 11.893
I 3.435 -7.606 10.282
I 4.549 -3.525 9.141
I 3.785 -6.533 6.047
```

Output
Energy relative to the elements, uncorrected (eV per atom): -0.46
Density of states at the Fermi level (states/eV/cell): 3.8

(6)
SrZrSe2N after structural relaxation, computed with PBE.

The structure in extended XYZ format:
```
5
Lattice="-4.272 2.944 -1.448 -2.320 -1.030 4.751 1.798 3.403 1.616" Properties=species:S:1:pos:R:3 pbc="T T T"
Sr -2.397 2.658 2.459
Se -1.160 -0.515 2.375
Se -2.136 1.472 -0.724
Zr 0.000 0.000 0.000
N 0.899 1.701 0.808
```

Output
Energy relative to the elements, uncorrected (eV per atom): -1.07
E above lowest polymorph (eV per atom): 0.000
Density of states at the Fermi level (states/eV/cell): 2.9

(7)
In2SbCl after structural relaxation, computed with PBE.

The structure in extended XYZ format:
```
4
Lattice="4.566 0.000 0.000 2.283 3.954 0.000 2.283 1.318 7.716" Properties=species:S:1:pos:R:3 pbc="T T T"
In 2.283 1.318 6.278
In 2.283 1.318 2.086
Sb 6.848 3.954 7.260
Cl 4.566 2.636 3.667
```

Output
Energy relative to the elements, uncorrected (eV per atom): -0.27
E above lowest polymorph (eV per atom): 0.108

(8)
Ba2ZnAu2 after structural relaxation, computed with PBE.

The structure in extended XYZ format:
```
5
Lattice="-3.644 -0.353 -1.757 0.771 -3.903 -0.815 -5.240 -4.632 7.105" Properties=species:S:1:pos:R:3 pbc="T T T"
Zn 0.000 0.000 0.000
Au -5.160 -3.557 2.031
Au -2.952 -5.332 2.502
Ba -2.263 -2.672 0.537
Ba -5.850 -6.216 3.996
```

Output
Formation enthalpy at 0 K (meV per atom): -313
Density of states at the Fermi level (states/eV/cell): 3.3

(9)
Dy16Y6Er7 after structural relaxation, computed with PBE.

The structure in extended XYZ format:
```
29
Lattice="9.578 0.000 5.530 3.193 9.030 5.530 0.000 0.000 11.060" Properties=species:S:1:pos:R:3 pbc="T T T"
Dy 11.211 7.928 13.761
Dy 11.211 7.928 19.419
Dy 9.578 3.308 16.590
Dy 6.312 7.928 16.590
Dy 1.560 1.103 2.701
Dy 1.560 1.103 8.359
Dy 3.193 5.722 5.530
Dy 6.459 1.103 5.530
Dy 8.339 5.897 7.676
Dy 8.339 5.897 14.444
Dy 6.385 0.371 11.060
Dy 2.478 5.897 11.060
Dy 4.432 3.134 7.676
Dy 4.432 3.134 14.444
Dy 6.385 8.660 11.060
Dy 10.293 3.134 11.060
Y 4.991 6.487 8.644
Y 7.780 2.543 13.475
Y 7.780 2.543 8.644
Y 4.991 6.487 13.475
Y 9.175 6.487 11.060
Y 3.596 2.543 11.060
Er 0.000 0.000 0.000
Er 4.789 0.000 8.295
Er 1.596 4.515 2.765
Er 1.596 4.515 8.295
Er 4.789 0.000 2.765
Er 0.000 0.000 5.530
Er 6.385 4.515 5.530
```

Output
Formation enthalpy at 0 K (meV per atom): 225
Density of states at the Fermi level (states/eV/cell): 53.6

(10)
Tb2TcBr after structural relaxation, computed with PBE.

The structure in extended XYZ format:
```
4
Lattice="-1.525 0.753 -3.021 1.629 -2.674 -1.489 -6.119 -4.784 1.897" Properties=species:S:1:pos:R:3 pbc="T T T"
Tb -4.863 -3.802 1.508
Tb -1.256 -0.982 0.389
Tc 0.052 -0.960 -2.255
Br -3.008 -3.352 -1.306
```

Output
Energy relative to the elements, uncorrected (eV per atom): -0.60
E above lowest polymorph (eV per atom): 0.000
Density of states at the Fermi level (states/eV/cell): 2.4

(11)
Be2ZnGa2Ni5 after structural relaxation, computed with PBE.

The structure in extended XYZ format:
```
20
Lattice="3.287 0.000 0.000 0.000 8.285 0.000 0.000 0.000 8.285" Properties=species:S:1:pos:R:3 pbc="T T T"
Be 0.000 1.018 5.161
Be 0.000 7.267 3.125
Be 0.000 5.161 7.267
Be 0.000 3.125 1.018
Zn 0.000 0.000 0.000
Zn 0.000 4.143 4.143
Ga 0.000 5.574 1.431
Ga 0.000 2.711 6.854
Ga 0.000 1.431 2.711
Ga 0.000 6.854 5.574
Ni 1.644 1.712 0.651
Ni 1.644 6.574 7.635
Ni 1.644 0.651 6.574
Ni 1.644 5.854 3.492
Ni 1.644 7.635 1.712
Ni 1.644 2.431 4.793
Ni 1.644 4.793 5.854
Ni 1.644 3.492 2.431
Ni 1.644 4.143 0.000
Ni 1.644 0.000 4.143
```

Output
Formation enthalpy at 0 K (meV per atom): -269
Density of states at the Fermi level (states/eV/cell): 7.2

(12)
YErNp2S4 after structural relaxation, computed with PBE.

The structure in extended XYZ format:
```
8
Lattice="-3.026 -1.113 2.202 4.275 -2.856 4.431 -1.098 6.407 1.731" Properties=species:S:1:pos:R:3 pbc="T T T"
Y 0.000 0.000 0.000
Er 0.625 -1.985 3.316
Np -2.062 2.647 1.966
Np 1.589 1.775 3.081
S -0.706 0.312 2.650
S 0.857 2.125 5.714
S 0.251 4.108 2.421
S 2.927 -0.557 3.740
```

Output
Energy relative to the elements, uncorrected (eV per atom): -1.67
Density of states at the Fermi level (states/eV/cell): 18.9

(13)
ZrZn2Au2 after structural relaxation, computed with PBE.

The structure in extended XYZ format:
```
10
Lattice="7.740 0.000 0.000 0.000 7.740 0.000 0.000 0.000 2.896" Properties=species:S:1:pos:R:3 pbc="T T T"
Zn 2.939 6.809 0.000
Zn 6.809 4.801 0.000
Zn 4.801 0.931 0.000
Zn 0.931 2.939 0.000
Au 1.372 5.242 1.448
Au 5.242 6.368 1.448
Au 6.368 2.498 1.448
Au 2.498 1.372 1.448
Zr 0.000 0.000 0.000
Zr 3.870 3.870 0.000
```

Output
E above lowest polymorph (eV per atom): 0.088
Formation enthalpy at 0 K (meV per atom): -267
Density of states at the Fermi level (states/eV/cell): 5.2

(14)
Ti12Ga6Os after structural relaxation, computed with PBE.

The structure in extended XYZ format:
```
19
Lattice="-6.376 -0.236 2.266 1.504 -5.508 3.639 1.722 3.936 5.233" Properties=species:S:1:pos:R:3 pbc="T T T"
Ti -3.587 -1.322 6.029
Ti -0.706 -2.485 6.655
Ti -1.272 0.614 6.997
Ti 0.438 -0.485 5.108
Ti -2.444 0.678 4.482
Ti -1.877 -2.421 4.140
Ti 0.550 0.667 2.576
Ti -2.881 0.088 9.208
Ti -1.094 -2.018 9.371
Ti -3.700 -2.474 8.561
Ti -0.269 -1.895 1.929
Ti -2.055 0.211 1.766
Ga -2.872 -3.988 6.219
Ga -4.094 -1.195 3.291
Ga 0.811 -3.029 4.381
Ga -0.277 2.181 4.918
Ga 0.945 -0.612 7.846
Ga -3.961 1.222 6.756
Os 0.000 0.000 0.000
```

Output
Formation enthalpy at 0 K (meV per atom): -272
Density of states at the Fermi level (states/eV/cell): 20.8

(15)
Ag3MoRu after structural relaxation, computed with PBE.

The structure in extended XYZ format:
```
5
Lattice="-1.995 -4.400 1.120 3.607 -0.792 3.310 -2.758 2.146 3.519" Properties=species:S:1:pos:R:3 pbc="T T T"
Ru 0.000 0.000 0.000
Mo -0.573 -1.523 3.975
Ag 1.804 -0.396 1.655
Ag -1.379 1.073 1.760
Ag -0.997 -2.200 0.560
```

Output
E above lowest polymorph (eV per atom): 0.000
Formation enthalpy at 0 K (meV per atom): 1886
Density of states at the Fermi level (states/eV/cell): 7.8

(16)
DyTlH after structural relaxation, computed with PBE.

The structure in extended XYZ format:
```
3
Lattice="3.234 0.000 0.000 0.000 3.234 0.000 -1.617 -1.617 5.871" Properties=species:S:1:pos:R:3 pbc="T T T"
H 0.000 0.000 3.113
Tl 0.000 0.000 0.035
Dy 1.617 1.617 2.723
```

Output
E above lowest polymorph (eV per atom): 0.269
Density of states at the Fermi level (states/eV/cell): 1.9

(17)
Ga2GeF after structural relaxation, computed with PBE.

The structure in extended XYZ format:
```
8
Lattice="-1.061 -4.560 -1.926 -1.514 -1.576 4.566 -7.254 -1.128 0.012" Properties=species:S:1:pos:R:3 pbc="T T T"
Ge 0.000 0.000 0.000
Ge -4.801 -4.378 -0.297
Ga -2.619 -3.130 -0.546
Ga -2.938 -2.036 2.532
Ga -6.472 -3.216 1.198
Ga -7.627 -6.146 2.121
F -1.287 -3.068 1.320
F -5.027 -2.886 2.949
```

Output
Energy relative to the elements, uncorrected (eV per atom): -0.53
E above lowest polymorph (eV per atom): 0.026
Density of states at the Fermi level (states/eV/cell): 4.4

(18)
CdHg6Pb3 after structural relaxation, computed with PBE.

The structure in extended XYZ format:
```
20
Lattice="3.587 0.000 0.000 0.000 12.759 -0.278 0.000 -4.525 12.316" Properties=species:S:1:pos:R:3 pbc="T T T"
Cd 2.690 -2.421 8.389
Cd 0.897 10.655 3.649
Hg 2.690 4.255 8.734
Hg 0.897 3.979 3.304
Hg 2.690 10.291 1.203
Hg 0.897 -2.057 10.835
Hg 2.690 3.933 0.712
Hg 0.897 4.301 11.326
Hg 2.690 8.050 3.613
Hg 0.897 0.184 8.425
Hg 2.690 -0.591 5.947
Hg 0.897 8.825 6.091
Hg 2.690 7.286 8.231
Hg 0.897 0.948 3.807
Pb 2.690 1.516 10.672
Pb 0.897 6.718 1.366
Pb 2.690 5.520 5.598
Pb 0.897 2.714 6.440
Pb 2.690 0.855 1.144
Pb 0.897 7.379 10.894
```

Output
Formation enthalpy at 0 K (meV per atom): 36
Density of states at the Fermi level (states/eV/cell): 6.3

(19)
Hf2BSb after structural relaxation, computed with PBE.

The structure in extended XYZ format:
```
4
Lattice="-0.870 -4.511 -1.030 -2.976 -1.087 -3.482 1.639 -1.859 -4.003" Properties=species:S:1:pos:R:3 pbc="T T T"
Sb -1.104 -3.728 -4.258
B 0.000 0.000 0.000
Hf -0.552 -1.864 -2.129
Hf -1.655 -5.592 -6.386
```

Output
Energy relative to the elements, uncorrected (eV per atom): 0.34
E above lowest polymorph (eV per atom): 0.930
Density of states at the Fermi level (states/eV/cell): 4.2

(20)
As2P2Pb after structural relaxation, computed with PBE.

The structure in extended XYZ format:
```
5
Lattice="5.004 0.000 0.000 0.000 5.004 0.000 2.502 2.502 4.248" Properties=species:S:1:pos:R:3 pbc="T T T"
Pb 0.000 0.000 0.000
P 2.502 2.502 1.173
P 5.004 5.004 3.075
As 5.004 2.502 2.124
As 2.502 5.004 2.124
```

Output
E above lowest polymorph (eV per atom): 0.026
Formation enthalpy at 0 K (meV per atom): 302
Density of states at the Fermi level (states/eV/cell): 2.2